# 1
VASP calculation (PBE-GGA) on a relaxed CeHoMg2 crystal.

Structure (POSCAR):
```
CeHoMg2
1.0
5.4086 0.0000 0.0000
0.0000 5.4086 0.0000
0.0000 0.0000 3.7517
Ce Ho Mg
1 1 2
Cartesian
0.0000 0.0000 0.0000 Ce
2.7043 2.7043 0.0000 Ho
0.0000 2.7043 1.8759 Mg
2.7043 0.0000 1.8759 Mg
```

Computed properties:
**Energy above the lowest structure with this stoichiometry**: 13.4 meV per atom

# 2
VASP calculation (PBE-GGA) on a relaxed TiCdIn crystal.

Structure (POSCAR):
```
TiCdIn
1.0
4.0974 0.0000 0.0000
0.0000 4.0974 0.0000
0.0000 0.0000 7.5194
Ti Cd In
2 2 2
Cartesian
1.0243 1.0243 1.1800 Ti
3.0730 3.0730 6.3393 Ti
1.0243 3.0730 3.7597 Cd
3.0730 1.0243 3.7597 Cd
1.0243 1.0243 5.9541 In
3.0730 3.0730 1.5652 In
```

Computed properties:
**E**: -3.7254 eV per atom

# 3
VASP calculation (PBE-GGA) on a relaxed BaIn2BiRh crystal.

Structure (POSCAR):
```
BaIn2BiRh
1.0
5.1839 0.0000 0.0000
0.0000 5.1839 0.0000
0.0000 0.0000 5.7059
Ba In Bi Rh
1 2 1 1
Cartesian
0.0000 0.0000 0.0000 Ba
0.0000 2.5919 2.8530 In
2.5919 0.0000 2.8530 In
2.5919 2.5919 0.0000 Bi
2.5919 2.5919 2.8530 Rh
```

Computed properties:
**E**: -4.0630 eV per atom

# 4
VASP calculation (PBE-GGA) on a relaxed Ce3PuRh crystal.

Structure (POSCAR):
```
Ce3PuRh
1.0
7.5378 0.0000 0.0000
0.0000 4.2279 0.0000
-2.5606 0.0000 7.6647
Ce Pu Rh
6 2 2
Cartesian
-0.1167 1.0570 1.6218 Ce
1.0819 3.1709 4.3958 Ce
0.2986 1.0570 7.2338 Ce
4.6786 3.1709 0.4309 Ce
3.8953 1.0570 3.2689 Ce
5.0939 3.1709 6.0429 Ce
1.6908 3.1709 1.6807 Pu
3.2864 1.0570 5.9840 Pu
-0.9653 1.0570 4.8089 Rh
5.9425 3.1709 2.8558 Rh
```

Computed properties:
**Energy above the lowest structure with this stoichiometry**: 0.0 meV per atom

# 5
VASP calculation (PBE-GGA) on a relaxed Be2InNi crystal.

Structure (POSCAR):
```
Be2InNi
1.0
-1.8509 1.8509 3.5490
1.8509 -1.8509 3.5490
1.8509 1.8509 -3.5490
Be In Ni
2 1 1
Cartesian
1.8509 0.0000 1.7745 Be
0.0000 1.8509 1.7745 Be
0.0000 0.0000 0.0000 In
0.0000 0.0000 3.5490 Ni
```

Computed properties:
**Energy above the lowest structure with this stoichiometry**: 74.3 meV per atom

# 6
VASP calculation (PBE-GGA) on a relaxed SrPrSmEu crystal.

Structure (POSCAR):
```
SrPrSmEu
1.0
0.0000 4.3091 4.3091
4.3091 0.0000 4.3091
4.3091 4.3091 0.0000
Sr Pr Sm Eu
1 1 1 1
Cartesian
0.0000 0.0000 0.0000 Sr
2.1545 2.1545 2.1545 Pr
4.3091 4.3091 4.3091 Sm
6.4636 6.4636 6.4636 Eu
```

Computed properties:
**E**: -5.1868 eV per atom

# 7
VASP calculation (PBE-GGA) on a relaxed LiSe2BrF crystal.

Structure (POSCAR):
```
LiSe2BrF
1.0
4.3065 0.0000 0.0000
0.0000 4.3065 0.0000
0.0000 0.0000 7.1926
Li Se Br F
1 2 1 1
Cartesian
0.0000 0.0000 0.0000 Li
0.0000 2.1532 3.5963 Se
2.1532 0.0000 3.5963 Se
2.1532 2.1532 0.0000 Br
2.1532 2.1532 3.5963 F
```

Computed properties:
**Formation energy (no corrections)**: -23.0 kJ/mol of atoms
**Energy above the lowest structure with this stoichiometry**: 0.0 meV per atom

# 8
VASP calculation (PBE-GGA) on a relaxed SmNpN3 crystal.

Structure (POSCAR):
```
SmNpN3
1.0
5.1557 -2.9282 0.0000
5.1557 2.9282 0.0000
-3.3898 0.0000 9.5626
Sm Np N
4 4 12
Cartesian
0.8110 1.5621 8.2720 Sm
4.4157 1.5621 6.0720 Sm
2.5059 -1.5621 3.4907 Sm
6.1106 -1.5621 1.2907 Sm
0.8829 1.4641 4.7813 Np
4.3082 1.4325 2.3907 Np
2.5778 -1.4641 0.0000 Np
2.6133 -1.4325 7.1720 Np
-1.2072 0.0414 8.1290 N
0.4877 -0.0414 3.3477 N
3.0497 1.5167 4.0574 N
5.5667 1.5167 0.7240 N
1.2941 0.0828 6.2959 N
2.9890 -0.0828 1.5146 N
3.9326 0.0828 8.0480 N
5.6275 -0.0828 3.2667 N
1.3548 -1.5167 8.8387 N
3.8719 -1.5167 5.5053 N
6.4339 0.0414 6.2150 N
8.1288 -0.0414 1.4336 N
```

Computed properties:
**Formation energy (no corrections)**: -117.7 kJ/mol of atoms

# 9
VASP calculation (PBE-GGA) on a relaxed ZnFe4Ni12 crystal.

Structure (POSCAR):
```
ZnFe4Ni12
1.0
-3.6895 3.6895 3.6895
3.6895 -3.6895 3.6895
3.6895 3.6895 -3.6895
Zn Fe Ni
1 4 12
Cartesian
0.0000 0.0000 0.0000 Zn
1.8447 1.8447 -1.8447 Fe
1.8447 -1.8447 1.8447 Fe
-1.8447 1.8447 1.8447 Fe
1.8447 1.8447 1.8447 Fe
2.2126 0.0000 0.0000 Ni
5.1663 0.0000 0.0000 Ni
3.6895 1.8447 0.0000 Ni
3.6895 0.0000 1.8447 Ni
0.0000 2.2126 0.0000 Ni
0.0000 0.0000 2.2126 Ni
1.8447 3.6895 0.0000 Ni
1.8447 0.0000 3.6895 Ni
0.0000 5.1663 0.0000 Ni
0.0000 0.0000 5.1663 Ni
0.0000 3.6895 1.8447 Ni
0.0000 1.8447 3.6895 Ni
```

Computed properties:
**E**: -6.0222 eV per atom

# 10
VASP calculation (PBE-GGA) on a relaxed Mg3CrI crystal.

Structure (POSCAR):
```
Mg3CrI
1.0
5.4696 0.0000 0.0000
0.0000 5.4696 0.0000
0.0000 0.0000 5.4696
Mg Cr I
3 1 1
Cartesian
0.0000 0.0000 2.7348 Mg
0.0000 2.7348 0.0000 Mg
2.7348 0.0000 0.0000 Mg
0.0000 0.0000 0.0000 Cr
2.7348 2.7348 2.7348 I
```

Computed properties:
**Formation energy (no corrections)**: 48.1 kJ/mol of atoms
**Energy above the lowest structure with this stoichiometry**: 0.0 meV per atom

# 11
VASP calculation (PBE-GGA) on a relaxed Hg2Te crystal.

Structure (POSCAR):
```
Hg2Te
1.0
0.0000 3.6566 3.6566
3.6566 0.0000 3.6566
3.6566 3.6566 0.0000
Hg Te
2 1
Cartesian
1.8283 1.8283 1.8283 Hg
5.4849 5.4849 5.4849 Hg
0.0000 0.0000 0.0000 Te
```

Computed properties:
**Formation energy (no corrections)**: 5.0 kJ/mol of atoms
**Energy above the lowest structure with this stoichiometry**: 81.5 meV per atom

# 12
VASP calculation (PBE-GGA) on a relaxed Li3Zn2Ga crystal.

Structure (POSCAR):
```
Li3Zn2Ga
1.0
6.1253 0.0000 0.0000
0.0000 4.3782 0.0000
-1.4078 0.0000 6.6164
Li Zn Ga
6 4 2
Cartesian
-0.0096 1.0946 1.2008 Li
0.1317 1.0946 5.6026 Li
1.5760 1.0946 3.3287 Li
3.1416 3.2837 3.2877 Li
4.5858 3.2837 1.0138 Li
4.7271 3.2837 5.4156 Li
0.0338 3.2837 3.2211 Zn
1.6103 3.2837 5.4077 Zn
3.1073 1.0946 1.2086 Zn
4.6837 1.0946 3.3953 Zn
1.5797 3.2837 1.0743 Ga
3.1379 1.0946 5.5421 Ga
```

Computed properties:
**Energy above the lowest structure with this stoichiometry**: 0.0 meV per atom

no.,Fermi-level density of states (states/eV/atom)
1,1.874
2,0.889
3,0.646
4,1.830
5,0.270
6,1.409
7,1.013
8,0.364
9,0.745
10,0.284
11,0.447
12,0.130